DFT (PBE-GGA) results for Cr2RhAu after structural relaxation.

```
Cr2RhAu
1.0
4.412 0.000 0.000
2.206 3.821 0.000
2.206 1.274 3.602
Au Cr Rh
1 2 1
Cartesian
4.412 2.547 1.801
0.000 0.000 0.000
2.206 1.274 0.901
6.618 3.821 2.702
```

Output
calculated formation energy	232	meV per atom
ρ	11.04	Mg/m³
M_tot	0.7	Bohr magnetons per cell
DOS(E_F)	1.903	states/eV/atom